(1)
VASP calculation (GGA-PBE) on a relaxed Pm2Ho3Er3 crystal.

Cell and atoms, written as extended XYZ:
```
8
Lattice="-1.540 -5.726 1.566 1.168 0.180 -6.017 6.637 -4.264 -0.950" Properties=species:S:1:pos:R:3 pbc="T T T"
Ho 5.538 -3.806 -4.273
Ho 0.728 -6.005 -1.128
Ho 0.000 0.000 0.000
Pm 3.224 -3.517 -1.589
Pm 3.041 -6.293 -3.812
Er 2.080 -3.052 -4.921
Er -0.186 -2.773 -2.226
Er 4.185 -6.758 -0.480
```

Computed properties:
Symmetry: C2/m

---

(2)
VASP calculation (GGA-PBE) on a relaxed Pm4Ho6Er crystal.

Cell and atoms, written as extended XYZ:
```
11
Lattice="-4.515 7.990 -3.182 -0.531 -9.669 -0.753 0.238 -5.848 7.752" Properties=species:S:1:pos:R:3 pbc="T T T"
Pm -3.096 -10.334 4.923
Pm -0.334 -6.228 -0.371
Pm 0.144 -3.852 4.917
Pm -1.814 -2.631 1.346
Er 0.000 0.000 0.000
Ho -0.321 -10.400 2.864
Ho -1.774 -5.717 2.729
Ho -2.139 1.071 2.285
Ho -2.960 2.108 -0.679
Ho -0.046 -9.035 5.901
Ho -2.523 -0.840 -1.968
```

Computed properties:
Symmetry: I-42m
Offset from the most stable computed form: 141 kJ/mol of formula units

---

(3)
VASP calculation (GGA-PBE) on a relaxed PmHo4Er3 crystal.

Cell and atoms, written as extended XYZ:
```
16
Lattice="6.248 0.000 0.000 0.000 7.233 0.000 0.000 0.000 11.194" Properties=species:S:1:pos:R:3 pbc="T T T"
Ho 6.130 0.899 2.819
Ho 6.130 0.899 8.376
Ho 3.006 6.334 2.779
Ho 4.053 0.900 0.000
Ho 3.006 6.334 8.416
Ho 4.042 0.904 5.597
Ho 0.918 6.329 0.000
Ho 0.929 6.333 5.597
Er 3.005 2.708 8.394
Er 6.129 4.525 8.397
Er 4.046 4.522 0.000
Er 0.922 2.711 5.597
Er 6.129 4.525 2.797
Er 3.005 2.708 2.800
Pm 4.048 4.527 5.597
Pm 0.924 2.707 0.000
```

Computed properties:
Symmetry: Pmn2_1
Offset from the most stable computed form: 0 kJ/mol of formula units

---

(4)
VASP calculation (GGA-PBE) on a relaxed Pm6HoEr crystal.

Cell and atoms, written as extended XYZ:
```
8
Lattice="0.935 -4.813 -3.878 1.289 -1.828 5.837 -8.005 1.294 -0.106" Properties=species:S:1:pos:R:3 pbc="T T T"
Er 0.000 0.000 0.000
Pm -1.061 -1.414 3.134
Pm -1.238 -2.906 -1.723
Pm -3.446 -1.013 0.437
Pm -2.335 -4.334 1.417
Pm -4.543 -2.441 3.577
Pm -4.721 -3.933 -1.280
Ho 1.112 -3.320 0.980
```

Computed properties:
Symmetry: C2/m

---

(5)
VASP calculation (GGA-PBE) on a relaxed PmHo3Er crystal.

Cell and atoms, written as extended XYZ:
```
10
Lattice="-0.386 -3.099 -1.830 -1.001 -2.510 8.029 -11.355 1.900 -0.823" Properties=species:S:1:pos:R:3 pbc="T T T"
Er -3.682 -3.734 1.714
Er -9.060 0.025 3.662
Ho -6.526 -1.549 5.777
Ho -11.859 -1.215 -0.810
Ho -3.881 -3.514 4.963
Ho -6.217 -2.159 -0.401
Ho -0.883 -2.493 6.186
Ho -8.862 -0.195 0.412
Pm -9.667 -2.932 5.209
Pm -3.075 -0.776 0.167
```

Computed properties:
Symmetry: P2_1/m
Offset from the most stable computed form: 156 kJ/mol of formula units

---

(6)
VASP calculation (GGA-PBE) on a relaxed Pm5Ho12Er crystal.

Cell and atoms, written as extended XYZ:
```
18
Lattice="-8.418 1.296 -8.074 -10.134 -1.305 1.827 -0.464 5.525 1.371" Properties=species:S:1:pos:R:3 pbc="T T T"
Ho -13.743 3.005 -4.870
Ho -6.980 3.801 -5.786
Ho -7.180 4.716 2.359
Ho -11.155 2.607 -2.387
Ho -2.517 0.388 -2.414
Ho -1.903 3.020 -0.917
Ho -6.365 6.434 -4.289
Ho -11.836 0.800 -7.235
Ho -5.273 2.511 -0.006
Ho -9.327 -0.408 -1.516
Ho -7.861 2.909 -2.489
Ho -9.689 5.924 -3.360
Pm -10.269 3.525 -5.786
Pm -4.441 3.411 -3.352
Pm -5.858 0.104 -2.405
Pm -12.694 -0.114 -3.842
Pm -8.748 1.991 0.911
Er 0.000 0.000 0.000
```

Computed properties:
Symmetry: Cmmm

---

(7)
VASP calculation (GGA-PBE) on a relaxed PmHo2Er9 crystal.

Cell and atoms, written as extended XYZ:
```
12
Lattice="-0.723 -0.807 3.315 2.996 -10.541 -1.914 7.563 7.393 3.450" Properties=species:S:1:pos:R:3 pbc="T T T"
Er 7.782 -1.112 3.260
Er 3.782 3.697 1.725
Er 3.448 -7.749 0.699
Er 2.868 0.353 2.546
Er 5.279 -1.574 0.768
Er 1.498 -5.271 -0.957
Er 6.388 3.794 4.151
Er 2.054 -2.843 1.590
Er 6.968 -4.308 2.305
Ho 4.518 -4.563 -0.126
Ho 6.041 1.415 1.662
Pm 0.000 0.000 0.000
```

Computed properties:
Symmetry: P6/mmm
Offset from the most stable computed form: 23 kJ/mol of formula units

---

(8)
VASP calculation (GGA-PBE) on a relaxed Pm5Ho4Er4 crystal.

Cell and atoms, written as extended XYZ:
```
13
Lattice="4.881 0.000 1.241 2.441 9.098 0.621 0.199 0.000 9.438" Properties=species:S:1:pos:R:3 pbc="T T T"
Er 1.745 4.898 3.356
Er 3.846 2.823 5.312
Er 5.775 4.200 7.944
Er 3.674 6.276 5.988
Pm 0.000 0.000 0.000
Pm 2.989 2.121 8.682
Pm 1.918 1.421 2.676
Pm 4.531 6.977 2.618
Pm 5.603 7.678 8.623
Ho 2.814 5.574 9.372
Ho 6.453 8.390 5.277
Ho 1.067 0.708 6.023
Ho 4.707 3.524 1.928
```

Computed properties:
Symmetry: I4/m

---

(9)
VASP calculation (GGA-PBE) on a relaxed Pm4Ho2Er3 crystal.

Cell and atoms, written as extended XYZ:
```
18
Lattice="5.955 0.086 0.490 0.633 9.497 3.692 0.236 -0.192 10.204" Properties=species:S:1:pos:R:3 pbc="T T T"
Pm 3.350 9.052 5.524
Pm 1.286 5.716 10.884
Pm 3.475 0.338 8.863
Pm 0.805 7.831 3.553
Pm 6.019 1.559 10.834
Pm 4.351 7.887 9.699
Pm 2.474 1.503 4.688
Pm 5.538 3.674 3.503
Er 5.561 0.176 3.781
Er 1.864 3.217 8.049
Er 4.961 6.173 6.337
Er 2.704 3.075 1.559
Er 1.264 9.214 10.605
Er 4.121 6.315 12.828
Ho 4.682 4.637 9.410
Ho 2.143 4.753 4.977
Ho 1.788 6.652 7.781
Ho 5.037 2.738 6.606
```

Computed properties:
Symmetry: C2/c
Offset from the most stable computed form: 36 kJ/mol of formula units

---

(10)
VASP calculation (GGA-PBE) on a relaxed Pm5PrHoEr2 crystal.

Cell and atoms, written as extended XYZ:
```
18
Lattice="5.687 0.000 0.000 -2.844 10.144 0.000 0.000 0.000 10.619" Properties=species:S:1:pos:R:3 pbc="T T T"
Pm 0.000 5.683 3.331
Pm 2.844 2.308 5.558
Pm 0.000 9.724 7.864
Pm 0.000 0.345 0.227
Pm 2.844 4.461 8.641
Pm 2.844 9.799 5.537
Pm 0.000 7.836 0.248
Pm 2.844 4.112 2.207
Pm 2.844 0.420 2.554
Pm 0.000 6.032 7.516
Ho 2.844 6.108 5.434
Ho 0.000 4.036 0.124
Pr 2.844 1.758 10.114
Pr 0.000 8.386 4.804
Er 0.000 2.348 3.382
Er 0.000 2.298 7.799
Er 2.844 7.846 2.489
Er 2.844 7.796 8.692
```

Computed properties:
Symmetry: Cmc2_1

---

(11)
VASP calculation (GGA-PBE) on a relaxed PmPr2Ho5Er crystal.

Cell and atoms, written as extended XYZ:
```
18
Lattice="-8.406 2.193 0.168 -2.155 -8.346 1.089 5.673 3.987 7.122" Properties=species:S:1:pos:R:3 pbc="T T T"
Ho -2.768 -0.884 2.446
Ho -1.681 3.057 5.401
Ho -5.280 -3.077 0.629
Ho 0.000 0.000 0.000
Ho -7.574 -4.761 3.144
Ho -2.120 -1.283 5.933
Ho 2.246 -1.745 5.767
Ho 2.685 2.594 5.235
Ho -7.134 -0.421 2.612
Ho -3.207 -5.223 2.978
Er -4.007 1.551 3.959
Er -0.882 -3.718 4.420
Pr -8.747 -3.222 0.821
Pr -1.814 -2.931 0.436
Pr -5.447 0.371 0.232
Pr -5.114 -6.525 1.025
Pm -5.084 -2.622 4.504
Pm 0.196 0.455 3.875
```

Computed properties:
Symmetry: I4/mcm

---

(12)
VASP calculation (GGA-PBE) on a relaxed Pm2Pr2Ho4Er crystal.

Cell and atoms, written as extended XYZ:
```
9
Lattice="-0.606 1.019 3.426 -2.918 -9.116 0.276 9.463 1.328 1.279" Properties=species:S:1:pos:R:3 pbc="T T T"
Ho 3.948 -4.035 3.817
Ho 1.990 -2.734 1.165
Ho 2.710 0.614 2.215
Ho 3.229 -7.383 2.767
Pr -1.353 -2.323 2.370
Pr 7.292 -4.445 2.612
Pm 0.620 -5.122 3.551
Pm 5.318 -1.647 1.431
Er 0.000 0.000 0.000
```

Computed properties:
Symmetry: C2/m

---

no.,total energy (eV/cell),total magnetic moment (Bohr magnetons per cell)
1,-36.7,0.0
2,-47.8,0.0
3,-73.4,0.0
4,-37.5,0.0
5,-42.8,0.0
6,-81.6,0.0
7,-54.4,0.0
8,-60.1,0.0
9,-82.1,0.0
10,-81.7,0.0
11,-78.7,0.0
12,-41.9,0.0